Record 1
# Re3F2

An optimized crystal structure of Re3F2 (PBE-GGA, the Open Quantum Materials Database).

Cell lengths 5.792, 5.792, 5.435 Å; angles 122.20, 57.80, 120.00 degrees
Fractional coordinates of all 10 atoms:
Re: 0.979 0.479 0.250
Re: 0.750 0.979 0.750
F: 0.080 0.920 0.760
F: 0.580 0.420 0.260
F: 0.420 0.580 0.740
Re: 0.250 0.021 0.250
Re: 0.479 0.250 0.750
Re: 0.521 0.750 0.250
F: 0.920 0.080 0.240
Re: 0.021 0.521 0.750

Properties
The space group is R-3c. The value obtained for the total energy is -76.783 eV/cell.

=====

Record 2
# Nd3OsO7

An optimized crystal structure of Nd3OsO7 (PBE-GGA, the Open Quantum Materials Database).

Cell lengths 6.600, 6.600, 7.532 Å; angles 90.00, 90.00, 68.26 degrees
Fractional coordinates of all 22 atoms:
O: 0.587 0.413 0.250
O: 0.187 0.561 0.042
O: 0.159 0.103 0.750
O: 0.841 0.897 0.250
O: 0.413 0.587 0.750
O: 0.439 0.813 0.458
O: 0.439 0.813 0.042
Os: 0.500 0.500 0.500
Nd: 0.000 0.000 0.500
O: 0.103 0.159 0.250
O: 0.561 0.187 0.958
Nd: 0.000 0.000 0.000
O: 0.561 0.187 0.542
Nd: 0.915 0.530 0.250
Nd: 0.470 0.085 0.250
Nd: 0.530 0.915 0.750
Os: 0.500 0.500 0.000
O: 0.813 0.439 0.958
O: 0.897 0.841 0.750
O: 0.813 0.439 0.542
Nd: 0.085 0.470 0.750
O: 0.187 0.561 0.458

Properties
The space group is Cmcm. The value obtained for the total energy is -178.592 eV/cell.

=====

Record 3
# PrDy2In3AgPt2

An optimized crystal structure of PrDy2In3AgPt2 (PBE-GGA, the Open Quantum Materials Database).

Cell lengths 3.835, 7.901, 7.901 Å; angles 120.29, 90.00, 90.00 degrees
Fractional coordinates of all 9 atoms:
Dy: 0.000 0.000 0.589
Ag: 0.000 0.998 0.998
Pr: 0.000 0.411 0.411
In: 0.500 0.736 0.736
Dy: 0.000 0.589 0.000
In: 0.500 0.266 0.997
Pt: 0.500 0.331 0.673
Pt: 0.500 0.673 0.331
In: 0.500 0.997 0.266

Properties
The space group is Amm2. The value obtained for the total energy is -44.371 eV/cell.

=====

Record 4
# Ho2Al4CuIr

An optimized crystal structure of Ho2Al4CuIr (PBE-GGA, the Open Quantum Materials Database).

Cell lengths 6.934, 5.505, 5.505 Å; angles 44.42, 90.00, 90.00 degrees
Fractional coordinates of all 8 atoms:
Al: 0.193 0.354 0.354
Al: 0.303 0.647 0.647
Al: 0.807 0.354 0.354
Ir: 0.500 0.213 0.213
Ho: 0.000 0.068 0.068
Cu: 0.000 0.786 0.786
Al: 0.697 0.647 0.647
Ho: 0.500 0.930 0.930

Properties
The space group is Amm2. The value obtained for the total energy is -42.099 eV/cell.

=====

Record 5
# TmGaNiPt

An optimized crystal structure of TmGaNiPt (PBE-GGA, the Open Quantum Materials Database).

Cell lengths 4.272, 4.272, 8.740 Å; angles 90.00, 90.00, 120.00 degrees
Fractional coordinates of all 8 atoms:
Pt: 0.667 0.333 0.915
Tm: 0.667 0.333 0.249
Tm: 0.333 0.667 0.749
Pt: 0.333 0.667 0.415
Ga: 0.000 0.000 0.508
Ni: 0.667 0.333 0.578
Ni: 0.333 0.667 0.078
Ga: 0.000 0.000 0.008

Properties
The space group is P6_3mc. The value obtained for the total energy is -44.997 eV/cell. The calculation puts the offset from the most stable computed form at 0.0 kJ per mole of atoms.

=====

Record 6
# GdCoSi

An optimized crystal structure of GdCoSi (PBE-GGA, the Open Quantum Materials Database).

Cell lengths 4.519, 4.519, 4.519 Å; angles 60.00, 60.00, 60.00 degrees
Fractional coordinates of all 3 atoms:
Gd: 0.000 0.000 0.000
Co: 0.250 0.250 0.250
Si: 0.750 0.750 0.750

Properties
The space group is F-43m. The value obtained for the total energy is -15.394 eV/cell.

=====

Record 7
# Nd2CdCu2

An optimized crystal structure of Nd2CdCu2 (PBE-GGA, the Open Quantum Materials Database).

Cell lengths 5.644, 5.644, 14.998 Å; angles 99.35, 99.26, 98.10 degrees
Fractional coordinates of all 20 atoms:
Cd: 0.221 0.221 0.000
Cu: 0.828 0.328 0.702
Cu: 0.624 0.124 0.298
Cu: 0.126 0.126 0.798
Nd: 0.199 0.669 0.866
Nd: 0.669 0.205 0.872
Cd: 0.722 0.222 0.500
Cu: 0.874 0.874 0.202
Nd: 0.697 0.667 0.366
Cd: 0.278 0.778 0.500
Nd: 0.801 0.331 0.134
Nd: 0.303 0.333 0.634
Cu: 0.376 0.876 0.702
Nd: 0.167 0.203 0.372
Cu: 0.172 0.672 0.298
Cu: 0.326 0.326 0.202
Nd: 0.331 0.795 0.128
Cu: 0.674 0.674 0.798
Nd: 0.833 0.797 0.628
Cd: 0.779 0.779 0.000

Properties
Its formation energy is -264 meV/atom. The space group is C2/c. The value obtained for the total energy is -76.698 eV/cell.

=====

Record 8
# SrMgBiIr

An optimized crystal structure of SrMgBiIr (PBE-GGA, the Open Quantum Materials Database).

Cell lengths 5.132, 5.132, 5.132 Å; angles 60.00, 60.00, 60.00 degrees
Fractional coordinates of all 4 atoms:
Bi: 0.500 0.500 0.500
Sr: 0.250 0.250 0.250
Mg: 0.750 0.750 0.750
Ir: 0.000 0.000 0.000

Properties
The space group is F-43m. The value obtained for the total energy is -16.125 eV/cell. The calculation puts the offset from the most stable computed form at 8.2 kJ per mole of atoms.

=====

| no. | total moment (Bohr magnetons per cell) |
| --- | --- |
| 1 | 0.0 |
| 2 | 6.0 |
| 3 | 0.0 |
| 4 | 0.0 |
| 5 | 0.0 |
| 6 | 1.1 |
| 7 | 0.0 |
| 8 | 0.0 |